# 1
Entry from OQMD: a relaxed Ta4W9 crystal (PBE-GGA).

abc: 5.2539 5.2539 28.3604
angles: 90.00 90.00 120.00
Closest atoms and distances in Å follow each position.
Space group R-3m (No. 166, hexagonal axes)
One atom of each set of equivalent atoms:
Ta 0.0000 0.0000 0.0479  1 Ta 2.72, 7 W 2.89-2.91
Ta 0.0000 0.0000 0.3324  6 W 2.95-3.01, 3 Ta 3.03
W 0.0000 0.0000 0.1503  1 Ta 2.91, 15 W 3.02-3.17
W 0.0000 0.0000 0.5000  6 W 2.65
W 0.0035 0.5017 0.9095  5 W 2.60-2.65, 2 Ta 2.89

## Properties
Offset from the most stable computed form ... 128 meV/atom
Formation enthalpy at 0 K ... 0.192 eV per atom

# 2
Entry from OQMD: a relaxed Ta12W crystal (PBE-GGA).

abc: 5.4375 5.4375 28.3912
angles: 90.00 90.00 120.00
Closest atoms and distances in Å follow each position.
Space group R-3m (No. 166, hexagonal axes)
One atom of each set of equivalent atoms:
Ta 0.0000 0.0000 0.0453  1 Ta 2.57
Ta 0.0000 0.0000 0.1481  10 Ta 2.92-3.17, 3 W 3.18
Ta 0.0000 0.0000 0.3322  9 Ta 2.98-3.14
Ta 0.0025 0.5013 0.9096  1 W 2.68, 5 Ta 2.70-2.98
W 0.0000 0.0000 0.5000  6 Ta 2.68

## Properties
Formation enthalpy at 0 K ... 0.086 eV per atom

# 3
Entry from OQMD: a relaxed Ta13W16 crystal (PBE-GGA).

abc: 10.0331 10.0331 10.0331
angles: 90.00 90.00 90.00
Closest atoms and distances in Å follow each position.
Space group I-43m (No. 217)
One atom of each set of equivalent atoms:
Ta 0.0000 0.0000 0.0000  12 Ta 3.18, 4 W 3.25
Ta 0.0943 0.0943 0.7124  5 W 2.66-2.91, 3 Ta 2.68-2.74
W 0.0451 0.3612 0.6388  5 Ta 2.66-2.91, 3 W 2.77-2.93
W 0.1870 0.1870 0.1870  3 W 2.77

## Properties
Offset from the most stable computed form ... 113 meV/atom
Formation enthalpy at 0 K ... 0.283 eV per atom

# 4
Entry from OQMD: a relaxed Ta6W7 crystal (PBE-GGA).

abc: 5.2912 5.2912 28.4502
angles: 90.00 90.00 120.00
Closest atoms and distances in Å follow each position.
Space group R-3m (No. 166, hexagonal axes)
One atom of each set of equivalent atoms:
Ta 0.0000 0.0000 0.0468  2 Ta 2.66-2.91, 6 W 2.92
Ta 0.0000 0.0000 0.1492  4 Ta 2.91-3.21, 12 W 3.08-3.14
Ta 0.0000 0.0000 0.3324  6 W 2.95-3.01, 3 Ta 3.06
W 0.0000 0.0000 0.5000  6 W 2.67
W 0.0031 0.5015 0.9100  5 W 2.62-2.67, 2 Ta 2.92

## Properties
Offset from the most stable computed form ... 0 meV/atom
Formation enthalpy at 0 K ... 0.016 eV per atom

# 5
Entry from OQMD: a relaxed Ta5W7 crystal (PBE-GGA).

abc: 5.3369 5.3369 17.1632
angles: 90.00 90.00 120.00
Closest atoms and distances in Å follow each position.
Space group P6_3/mmc (No. 194)
One atom of each set of equivalent atoms:
Ta 0.1642 0.3284 0.2500  4 Ta 2.63-2.71, 2 W 2.70
Ta 0.3333 0.6667 0.6548  9 W 3.07-3.25, 7 Ta 3.13-3.27
W 0.0000 0.0000 0.0945  6 Ta 3.07-3.25, 10 W 3.12-3.24
W 0.0000 0.5000 0.0000  6 W 2.59-2.67
W 0.3333 0.6667 0.1215  3 W 2.59, 3 Ta 2.70

## Properties
Offset from the most stable computed form ... 12 meV/atom
Formation enthalpy at 0 K ... 0.259 eV per atom

# 6
Entry from OQMD: a relaxed Ta5W7 crystal (PBE-GGA).

abc: 5.3010 5.3010 17.3290
angles: 90.00 90.00 120.00
Closest atoms and distances in Å follow each position.
Space group P6_3/mmc (No. 194)
One atom of each set of equivalent atoms:
Ta 0.1633 0.3266 0.2500  6 Ta 2.60-2.72
Ta 0.3333 0.6667 0.1216  3 W 2.60, 3 Ta 2.72
W 0.0000 0.0000 0.0939  6 Ta 3.09-3.10, 10 W 3.11-3.26
W 0.0000 0.5000 0.0000  2 Ta 2.60, 4 W 2.65
W 0.3333 0.6667 0.6552  7 W 3.09-3.29, 9 Ta 3.12

## Properties
Offset from the most stable computed form ... 185 meV/atom
Formation enthalpy at 0 K ... 0.431 eV per atom

# 7
Entry from OQMD: a relaxed Ta8W7 crystal (PBE-GGA).

abc: 9.9960 9.9960 5.2660
angles: 90.00 90.00 90.00
Closest atoms and distances in Å follow each position.
Space group P4_2/mnm (No. 136)
One atom of each set of equivalent atoms:
Ta 0.0647 0.2621 0.0000  5 W 2.70-2.86, 5 Ta 2.79-2.91
Ta 0.1820 0.8180 0.2515  6 Ta 2.62-2.91, 1 W 2.89
W 0.0000 0.0000 0.0000  8 Ta 2.70-2.89, 4 W 3.01
W 0.0358 0.3698 0.5000  2 W 2.70-2.75, 4 Ta 2.81-2.86
W 0.1037 0.1037 0.5000  5 W 2.75-3.01

## Properties
Offset from the most stable computed form ... 71 meV/atom
Formation enthalpy at 0 K ... 0.101 eV per atom

# 8
Entry from OQMD: a relaxed Ta5W7 crystal (PBE-GGA).

abc: 5.3254 5.3254 17.2266
angles: 90.00 90.00 120.00
Closest atoms and distances in Å follow each position.
Space group P6_3/mmc (No. 194)
One atom of each set of equivalent atoms:
Ta 0.0000 0.0000 0.0946  4 Ta 3.08-3.26, 12 W 3.11-3.23
Ta 0.1643 0.3285 0.2500  4 Ta 2.62-2.70, 2 W 2.69
W 0.0000 0.5000 0.0000  6 W 2.61-2.66
W 0.3333 0.6667 0.1225  3 W 2.61, 3 Ta 2.69
W 0.3333 0.6667 0.6517  7 W 3.03-3.39, 9 Ta 3.16-3.23

## Properties
Offset from the most stable computed form ... 5 meV/atom
Formation enthalpy at 0 K ... 0.252 eV per atom

# 9
Entry from OQMD: a relaxed Ta2W13 crystal (PBE-GGA).

abc: 9.8466 9.8466 5.1588
angles: 90.00 90.00 90.00
Closest atoms and distances in Å follow each position.
Space group P4_2/mnm (No. 136)
One atom of each set of equivalent atoms:
Ta 0.1041 0.1041 0.0000  8 W 2.74-3.02, 1 Ta 2.90
W 0.0000 0.0000 0.5000  8 W 2.61-2.90
W 0.0317 0.3726 0.0000  5 W 2.59-2.83, 1 Ta 2.74
W 0.0615 0.2580 0.5000  10 W 2.61-2.85
W 0.1867 0.8133 0.2489  6 W 2.57-2.85

## Properties
Formation enthalpy at 0 K ... 0.085 eV per atom

# 10
Entry from OQMD: a relaxed TaW2 crystal (PBE-GGA).

abc: 9.9160 9.9160 5.2135
angles: 90.00 90.00 90.00
Closest atoms and distances in Å follow each position.
Space group P4_2/mnm (No. 136)
One atom of each set of equivalent atoms:
Ta 0.0000 0.0000 0.0000  4 W 2.66, 4 Ta 2.92
Ta 0.1867 0.1867 0.2499  2 Ta 2.61, 4 W 2.85-2.89
W 0.0332 0.6291 0.5000  6 W 2.64-2.84
W 0.0630 0.7392 0.0000  5 Ta 2.66-2.89, 5 W 2.77-2.84
W 0.1039 0.8961 0.5000  7 W 2.74-3.06, 2 Ta 2.99

## Properties
Formation enthalpy at 0 K ... 0.099 eV per atom

# 11
Entry from OQMD: a relaxed Ta5W7 crystal (PBE-GGA).

abc: 5.3341 5.3341 17.1819
angles: 90.00 90.00 120.00
Closest atoms and distances in Å follow each position.
Space group P6_3/mmc (No. 194)
One atom of each set of equivalent atoms:
Ta 0.0000 0.0000 0.0989  9 W 3.00-3.22, 6 Ta 3.16
Ta 0.0000 0.5000 0.0000  4 Ta 2.67, 2 W 2.67
W 0.1627 0.3255 0.2500  6 W 2.60-2.73
W 0.3333 0.6667 0.1272  3 W 2.63, 3 Ta 2.67
W 0.3333 0.6667 0.6544  6 Ta 3.07-3.22, 10 W 3.11-3.29

## Properties
Offset from the most stable computed form ... 15 meV/atom
Formation enthalpy at 0 K ... 0.262 eV per atom

# 12
Entry from OQMD: a relaxed TaW3 crystal (PBE-GGA).

abc: 5.2908 5.2908 17.1506
angles: 90.00 90.00 120.00
Closest atoms and distances in Å follow each position.
Space group P6_3/mmc (No. 194)
One atom of each set of equivalent atoms:
Ta 0.1639 0.3278 0.2500  4 Ta 2.60-2.69, 2 W 2.69
W 0.0000 0.0000 0.0996  3 Ta 2.99, 12 W 3.08-3.17
W 0.0000 0.5000 0.0000  6 W 2.59-2.65
W 0.3333 0.6667 0.1220  3 W 2.59, 3 Ta 2.69
W 0.3333 0.6667 0.6492  9 W 2.98-3.17, 6 Ta 3.16

## Properties
Formation enthalpy at 0 K ... 0.439 eV per atom

Number 1: electronic total energy -484.7 eV/cell. Number 2: electronic total energy -462.2 eV/cell. Number 3: electronic total energy -706.5 eV/cell. Number 4: electronic total energy -484.9 eV/cell. Number 5: electronic total energy -293.8 eV/cell. Number 6: electronic total energy -289.6 eV/cell. Number 7: electronic total energy -368.0 eV/cell. Number 8: electronic total energy -293.9 eV/cell. Number 9: electronic total energy -381.8 eV/cell. Number 10: electronic total energy -374.8 eV/cell. Number 11: electronic total energy -293.7 eV/cell. Number 12: electronic total energy -293.9 eV/cell.